[1]
Below is a geometry-optimized Ce5PrSn4 structure, with properties calculated at the PBE level.

extended XYZ file:
```
20
Lattice="5.310 0.000 0.000 0.000 12.080 0.000 0.000 0.000 9.773" Properties=species:S:1:pos:R:3 pbc="T T T"
Pr 2.227 6.040 4.886
Pr 3.083 0.000 0.000
Ce 4.177 2.930 3.153
Ce 2.841 6.040 0.000
Ce 4.177 2.930 6.620
Ce 1.133 3.111 1.734
Ce 1.133 3.111 8.039
Ce 4.177 9.151 6.620
Ce 1.133 8.970 1.734
Ce 1.133 8.970 8.039
Ce 2.469 0.000 4.886
Ce 4.177 9.151 3.153
Sn 1.487 9.106 4.886
Sn 0.210 0.000 2.395
Sn 3.823 3.066 0.000
Sn 5.100 6.040 7.281
Sn 0.210 0.000 7.378
Sn 3.823 9.015 0.000
Sn 5.100 6.040 2.491
Sn 1.487 2.975 4.886
```

Computed properties:
Theoretical density   6.97 g/cm³
Spin magnetization   4.695 μB per formula unit
Uncorrected energy   -5.409 eV per atom
DFT formation energy   -3.6 eV per formula unit
N(E_F)   2.49 states/eV per atom

[2]
Below is a geometry-optimized KSn3Pb structure, with properties calculated at the PBE level.

extended XYZ file:
```
20
Lattice="-5.358 -2.331 5.455 2.823 -8.654 -0.925 5.077 5.160 7.190" Properties=species:S:1:pos:R:3 pbc="T T T"
Pb 1.534 2.249 9.670
Pb 1.008 -8.074 2.050
Pb 4.993 -4.865 4.172
Pb -2.452 -0.960 7.548
Sn 3.735 3.482 7.758
Sn 0.062 -4.129 8.515
Sn -1.165 -6.138 3.585
Sn -1.193 -9.307 3.963
Sn 1.644 -6.598 7.255
Sn 2.480 -1.696 3.206
Sn -3.788 -3.721 5.831
Sn 6.329 -2.104 5.890
Sn 1.636 -5.621 4.489
Sn 0.906 -0.204 7.232
Sn 0.898 0.773 4.466
Sn 3.707 0.313 8.136
K -0.153 -1.050 10.508
K -0.567 -2.705 4.750
K 2.695 -4.776 1.213
K 3.109 -3.120 6.971
```

Computed properties:
Theoretical density   5.84 g/cm³
Spin magnetization   0.000 μB per formula unit
Uncorrected energy   -3.418 eV per atom
Offset from the most stable computed form   1.4 kJ/mol of atoms
DFT formation energy   -0.3 eV per formula unit
N(E_F)   0.43 states/eV per atom

[3]
Below is a geometry-optimized Hg2Se2BrO6 structure, with properties calculated at the PBE level.

extended XYZ file:
```
11
Lattice="5.945 -0.036 0.647 2.852 4.988 0.466 1.002 -2.434 7.389" Properties=species:S:1:pos:R:3 pbc="T T T"
Se 6.875 0.938 1.997
Se 2.925 1.579 6.505
O 7.701 2.267 2.690
O 5.258 1.515 1.682
O 6.687 -0.180 3.329
O 2.098 0.250 5.813
O 3.112 2.698 5.173
O 4.541 1.003 6.820
Br 3.474 -1.235 4.018
Hg 5.833 0.342 5.249
Hg 3.966 2.176 3.253
```

Computed properties:
Theoretical density   5.58 g/cm³
Spin magnetization   1.007 μB per formula unit
Uncorrected energy   -4.008 eV per atom
Formation energy (no corrections)   -0.463 eV/atom